{
  "formula": "CdTc4O12",
  "functional": "GGA-PBE",
  "state": "relaxed",
  "crystal_system": "orthorhombic",
  "formation_energy_uncorrected_ev_per_atom": -1.263,
  "space_group": "Immm (71)",
  "lattice_angstrom": [[-3.757, 3.791, 3.845], [3.757, -3.791, 3.845], [3.757, 3.791, -3.845]],
  "species": ["Cd", "Tc", "Tc", "Tc", "Tc", "O", "O", "O", "O", "O", "O", "O", "O", "O", "O", "O", "O"],
  "fractional_positions": [[0.000, 0.000, 0.000], [0.000, 0.000, 0.500], [0.000, 0.500, 0.000], [0.500, 0.000, 0.000], [0.500, 0.500, 0.500], [0.010, 0.279, 0.731], [0.221, 0.212, 0.432], [0.221, 0.788, 0.009], [0.274, 0.043, 0.769], [0.274, 0.504, 0.231], [0.453, 0.721, 0.731], [0.547, 0.279, 0.269], [0.726, 0.496, 0.769], [0.726, 0.957, 0.231], [0.779, 0.212, 0.991], [0.779, 0.788, 0.568], [0.990, 0.721, 0.269]]
}